No. 1
Material: TmAlI
Method: DFT, PBE-GGA
State: optimized geometry

The value obtained for the density of states at the Fermi level is 8.26 states/eV per cell. As for the raw formation energy: -0.670 eV/atom. For the magnetic moment, the calculation gives 0.0 μB/cell.

The space group is C2/m (No. 12) and the conventional cell measures 7.0990, 4.1004 and 13.5143 Å, with angles of 90.00, 99.69 and 90.00 degrees. Symmetry generates all atoms from Tm at (0.2270, 0.0000, 0.1893), Al at (0.1525, 0.0000, 0.9557) and I at (0.1084, 0.5000, 0.3395).


No. 2
Material: Ac2ErC
Method: DFT, PBE-GGA
State: optimized geometry

The value obtained for the density of states at the Fermi level is 14.11 states/eV per cell. For the magnetic moment, the calculation gives 3.0 μB/cell. For the formation energy, the calculation gives 1093 meV/atom.

The space group is R-3m (No. 166, hexagonal axes) and the conventional cell measures 4.0248, 4.0248 and 31.6332 Å, with angles of 90.00, 90.00 and 120.00 degrees. Symmetry generates all atoms from Ac at (0.0000, 0.0000, 0.0741), Er at (0.0000, 0.0000, 0.5000) and C at (0.0000, 0.0000, 0.0000).


No. 3
Material: NaSr8Zn2
Method: DFT, PBE-GGA
State: optimized geometry

The value obtained for the density of states at the Fermi level is 24.44 states/eV per cell. For the magnetic moment, the calculation gives 0.0 μB/cell. For the formation energy, the calculation gives -27 meV/atom.

The space group is C2/m (No. 12) and the conventional cell measures 10.3537, 15.3382 and 6.5058 Å, with angles of 90.00, 104.81 and 90.00 degrees. Symmetry generates all atoms from Na at (0.0000, 0.0000, 0.0000), Sr at (0.0000, 0.2480, 0.0000), Sr at (0.1115, 0.5000, 0.7961), Sr at (0.2008, 0.1328, 0.5899) and Zn at (0.0000, 0.3133, 0.5000).


No. 4
Material: La12Zn5Sn
Method: DFT, PBE-GGA
State: optimized geometry

The value obtained for the density of states at the Fermi level is 48.90 states/eV per cell. For the magnetic moment, the calculation gives 0.0 μB/cell. For the formation energy, the calculation gives -237 meV/atom.

The space group is Immm (No. 71) and the conventional cell measures 9.7638, 9.8768 and 11.4606 Å, with angles of 90.00, 90.00 and 90.00 degrees. Symmetry generates all atoms from La at (0.0000, 0.1932, 0.2294), La at (0.2173, 0.5000, 0.1809), La at (0.2176, 0.3066, 0.5000), Zn at (0.0000, 0.0000, 0.0000), Zn at (0.0000, 0.3647, 0.0000), Zn at (0.0000, 0.5000, 0.3799) and Sn at (0.0000, 0.0000, 0.5000).


No. 5
Material: BaScCr2
Method: DFT, PBE-GGA
State: optimized geometry

The value obtained for the density of states at the Fermi level is 5.62 states/eV per cell. For the magnetic moment, the calculation gives 0.8 μB/cell. For the formation energy, the calculation gives 535 meV/atom.

The space group is P4mm (No. 99) and the conventional cell measures 3.2328, 3.2328 and 8.7998 Å, with angles of 90.00, 90.00 and 90.00 degrees. Symmetry generates all atoms from Ba at (0.0000, 0.0000, 0.0000), Sc at (0.5000, 0.5000, 0.6304), Cr at (0.0000, 0.0000, 0.4286) and Cr at (0.5000, 0.5000, 0.3092).


No. 6
Material: Mn2OsPd
Method: DFT, PBE-GGA
State: optimized geometry

The value obtained for the density of states at the Fermi level is 20.74 states/eV per cell. For the magnetic moment, the calculation gives 21.9 μB/cell. For the formation energy, the calculation gives 628 meV/atom.

The space group is I-42d (No. 122) and the conventional cell measures 6.7327, 6.7327 and 5.3725 Å, with angles of 90.00, 90.00 and 90.00 degrees. Symmetry generates all atoms from Mn at (0.2352, 0.2500, 0.1250), Os at (0.0000, 0.0000, 0.0000) and Pd at (0.0000, 0.0000, 0.5000).


No. 7
Material: Sm5Sc4Hg4
Method: DFT, PBE-GGA
State: optimized geometry

The value obtained for the density of states at the Fermi level is 23.48 states/eV per cell. For the magnetic moment, the calculation gives 0.0 μB/cell. For the formation energy, the calculation gives -304 meV/atom.

The space group is I4/m (No. 87) and the conventional cell measures 11.9674, 11.9674 and 4.9477 Å, with angles of 90.00, 90.00 and 90.00 degrees. Symmetry generates all atoms from Sm at (0.0000, 0.0000, 0.0000), Sm at (0.1223, 0.8097, 0.5000), Sc at (0.0898, 0.4040, 0.5000) and Hg at (0.0806, 0.2501, 0.0000).


No. 8
Material: Ba2AcAl2S6
Method: DFT, PBE-GGA
State: optimized geometry

The value obtained for the density of states at the Fermi level is 1.40 states/eV per cell. As for the raw formation energy: -1.541 eV/atom. For the magnetic moment, the calculation gives 2.0 μB/cell.

The space group is C2/m (No. 12) and the conventional cell measures 11.9138, 7.3304 and 8.2530 Å, with angles of 90.00, 114.86 and 90.00 degrees. Symmetry generates all atoms from Ba at (0.2006, 0.0000, 0.1678), Ac at (0.0000, 0.0000, 0.5000), Al at (0.0369, 0.5000, 0.3231), S at (0.0637, 0.2488, 0.8132) and S at (0.2386, 0.5000, 0.4214).